No. 1
DFT (GGA-PBE) results for MgCrI2 after structural relaxation.

Values from the calculation:
Distance to the lowest polymorph of the same formula: 604 meV/atom
Uncorrected energy: -11.5 eV for the cell shown
Formation energy without anion corrections: 0.693 eV per atom
Fermi-level density of states: 5.3 states/eV/cell

Cell: 5.0137 5.0137 5.0137 Å, 60.00 60.00 60.00°
Element x y z (fractional)
Mg 0.0000 0.0000 0.0000
Cr 0.5000 0.5000 0.5000
I 0.2500 0.2500 0.2500
I 0.7500 0.7500 0.7500



No. 2
DFT (GGA-PBE) results for TlBTe2 after structural relaxation.

Values from the calculation:
Distance to the lowest polymorph of the same formula: 936 meV/atom
Uncorrected energy: -11.0 eV for the cell shown
Formation energy without anion corrections: 1.072 eV per atom
Fermi-level density of states: 2.7 states/eV/cell

Cell: 5.2222 5.2222 5.2222 Å, 60.00 60.00 60.00°
Element x y z (fractional)
Tl 0.0000 0.0000 0.0000
B 0.5000 0.5000 0.5000
Te 0.2500 0.2500 0.2500
Te 0.7500 0.7500 0.7500



No. 3
DFT (GGA-PBE) results for ScMo3 after structural relaxation.

Values from the calculation:
Energy of formation: 0.28 eV/atom
Uncorrected energy: -37.7 eV for the cell shown
Fermi-level density of states: 3.7 states/eV/cell

Cell: 5.4294 5.4294 5.4294 Å, 139.16 139.16 59.13°
Element x y z (fractional)
Sc 0.0000 0.0000 0.0000
Mo 0.2500 0.7500 0.5000
Mo 0.5000 0.5000 0.0000
Mo 0.7500 0.2500 0.5000



No. 4
DFT (GGA-PBE) results for BeNiCl2 after structural relaxation.

Values from the calculation:
Distance to the lowest polymorph of the same formula: 895 meV/atom
Uncorrected energy: -11.5 eV for the cell shown
Formation energy without anion corrections: 0.437 eV per atom
Fermi-level density of states: 3.5 states/eV/cell

Cell: 3.0257 3.0257 6.1519 Å, 90.00 90.00 90.00°
Element x y z (fractional)
Be 0.0000 0.0000 0.0000
Ni 0.0000 0.0000 0.5000
Cl 0.5000 0.5000 0.2380
Cl 0.5000 0.5000 0.7620



No. 5
DFT (GGA-PBE) results for LaCd2Pb after structural relaxation.

Values from the calculation:
Energy of formation: -0.28 eV/atom
Uncorrected energy: -11.6 eV for the cell shown
Fermi-level density of states: 2.5 states/eV/cell

Cell: 5.4034 5.4034 5.4034 Å, 120.22 120.22 89.63°
Element x y z (fractional)
La 0.0000 0.0000 0.0000
Cd 0.2500 0.7500 0.5000
Cd 0.5000 0.5000 0.0000
Pb 0.7500 0.2500 0.5000



No. 6
DFT (GGA-PBE) results for PmSmDy5 after structural relaxation.

Values from the calculation:
Energy of formation: 1.09 eV/atom
Distance to the lowest polymorph of the same formula: 896 meV/atom
Uncorrected energy: -24.9 eV for the cell shown
Fermi-level density of states: 10.2 states/eV/cell

Cell: 7.8746 7.8746 7.8746 Å, 137.01 113.43 82.58°
Element x y z (fractional)
Pm 0.0000 0.0000 0.0000
Sm 0.5000 0.5000 0.0000
Dy 0.1793 0.5000 0.6793
Dy 0.2533 0.2533 0.0000
Dy 0.5000 0.0000 0.5000
Dy 0.7467 0.7467 0.0000
Dy 0.8207 0.5000 0.3207



No. 7
DFT (GGA-PBE) results for Ho4SnRu3 after structural relaxation.

Values from the calculation:
Energy of formation: -0.42 eV/atom
Uncorrected energy: -53.5 eV for the cell shown
Fermi-level density of states: 4.5 states/eV/cell

Cell: 4.8369 4.8369 7.2038 Å, 90.00 90.00 90.00°
Element x y z (fractional)
Ho 0.0000 0.5000 0.2306
Ho 0.0000 0.5000 0.7694
Ho 0.5000 0.0000 0.2306
Ho 0.5000 0.0000 0.7694
Sn 0.0000 0.0000 0.5000
Ru 0.0000 0.0000 0.0000
Ru 0.5000 0.5000 0.0000
Ru 0.5000 0.5000 0.5000



No. 8
DFT (GGA-PBE) results for La2PmY2Mg after structural relaxation.

Values from the calculation:
Energy of formation: 0.45 eV/atom
Uncorrected energy: -52.9 eV for the cell shown
Fermi-level density of states: 18.9 states/eV/cell

Cell: 11.0174 11.7690 3.6051 Å, 90.00 90.00 90.00°
Element x y z (fractional)
La 0.2502 0.0613 0.0000
La 0.2498 0.5613 0.5000
La 0.7502 0.4387 0.5000
La 0.7498 0.9387 0.0000
Pm 0.0000 0.0000 0.5000
Pm 0.5000 0.5000 0.0000
Y 0.0685 0.7655 0.0000
Y 0.4315 0.2655 0.5000
Y 0.5685 0.7345 0.5000
Y 0.9315 0.2345 0.0000
Mg 0.0000 0.5000 0.0000
Mg 0.5000 0.0000 0.5000